BaMg6CoO8: relaxed, GGA+U.

POSCAR file:
```
BaMg6CoO8
1.0
4.563 0.000 0.000
0.000 4.563 0.000
0.000 0.000 9.040
Ba Mg Co O
1 6 1 8
Cartesian
0.000 0.000 0.000
0.000 0.000 4.520
0.000 2.282 2.453
0.000 2.282 6.586
2.282 0.000 2.453
2.282 0.000 6.586
2.282 2.282 4.520
2.282 2.282 0.000
0.000 0.000 2.554
0.000 0.000 6.486
0.000 2.282 0.000
0.000 2.282 4.520
2.282 0.000 0.000
2.282 0.000 4.520
2.282 2.282 2.383
2.282 2.282 6.656
```

Computed properties:
* energy above the lowest structure with this stoichiometry: 0.000 eV per atom
* E: -5.596 eV/atom
* space-group type: P4/mmm